# 1
Compound: Zn2InTe
Source: Alexandria
Functional: GGA-PBE
Structure: relaxed

a = 3.7559 Å, b = 3.7517 Å, c = 6.5423 Å
α = 90.00°, β = 90.00°, γ = 90.00°
With the nearest neighbours (Å) after each atom.
Element x y z (fractional)
Zn 0.0000 0.0000 0.5171  1 Zn 3.05, 4 Te 3.06, 4 In 3.18
Te 0.5000 0.5000 0.7500  8 Zn 3.06, 2 In 3.27
In 0.5000 0.5000 0.2500  8 Zn 3.18, 2 Te 3.27
Zn 0.0000 0.0000 0.9829  1 Zn 3.05, 4 Te 3.06, 4 In 3.18

Computed properties:
SG: P4/mmm (123)

***

# 2
Compound: Zn2InTe
Source: Alexandria
Functional: GGA-PBE
Structure: relaxed

a = 3.4826 Å, b = 3.4826 Å, c = 7.9219 Å
α = 90.00°, β = 90.00°, γ = 101.93°
With the nearest neighbours (Å) after each atom.
Element x y z (fractional)
In 0.0000 0.0000 0.4573  2 Zn 2.93
Zn 0.0000 0.0000 0.0300  2 Zn 2.63, 2 Te 2.85
Te 0.5000 0.5000 0.7997  2 Zn 2.85
Zn 0.5000 0.5000 0.2130  2 Zn 2.63, 2 In 2.93

Computed properties:
SG: Cmm2 (35)

***

# 3
Compound: Zn2InTe
Source: Alexandria
Functional: GGA-PBE
Structure: relaxed

a = 3.7681 Å, b = 3.1149 Å, c = 7.8986 Å
α = 90.08°, β = 90.00°, γ = 90.00°
With the nearest neighbours (Å) after each atom.
Element x y z (fractional)
Te 0.5000 0.7500 0.7500  4 Zn 2.85, 2 Te 3.11
In 0.5000 0.2500 0.2500  8 Zn 3.03-3.06, 2 In 3.11
Zn 0.0000 0.7592 0.0207  2 Te 2.85, 4 In 3.03-3.06, 2 Zn 3.11
Zn 0.0000 0.7408 0.4793  2 Te 2.85, 4 In 3.03-3.06, 2 Zn 3.11

Computed properties:
SG: P2/m (10)

***

How do the records compare in formation energy without anion corrections? In the order shown, they have 0.139 0.120 0.058 eV/atom.
How do the records compare in energy relative to the lowest polymorph listed for this composition? In the order shown, they have 0.1441 0.1252 0.0630 eV/atom.